Record 1
The following is a DFT calculation (GGA-PBE) of a geometry-optimized FeCuMo structure.

```
FeCuMo
1.0
6.427 0.014 -0.012
5.808 2.519 0.047
0.619 -0.395 2.474
Cu Mo Fe
1 1 1
Direct
0.994 0.994 0.006
0.668 0.668 0.332
0.338 0.338 0.662
```

Results
* E_form: 0.1962 eV per atom
* offset from the most stable computed form: 0.036 eV/f.u.
* N(E_F): 0.680 states/eV per atom



Record 2
The following is a DFT calculation (GGA-PBE) of a geometry-optimized FeCuMo2 structure.

```
FeCuMo2
1.0
4.664 -0.014 0.000
1.523 4.408 0.000
-3.094 -2.197 2.712
Mo Cu Fe
2 1 1
Direct
0.000 0.000 0.000
0.250 0.750 0.500
0.500 0.500 0.000
0.750 0.250 0.500
```

Results
* E_form: 0.2706 eV per atom
* offset from the most stable computed form: 0.453 eV/f.u.
* N(E_F): 0.958 states/eV per atom



Record 3
The following is a DFT calculation (GGA-PBE) of a geometry-optimized FeCuMo2 structure.

```
FeCuMo2
1.0
-2.022 -3.338 -3.939
0.386 -1.682 4.520
-2.569 -0.279 0.334
Cu Fe Mo
1 1 2
Direct
0.000 0.500 0.500
0.500 0.500 0.000
0.500 0.000 0.500
0.000 0.000 0.000
```

Results
* E_form: 0.2194 eV per atom
* offset from the most stable computed form: 0.249 eV/f.u.
* N(E_F): 0.975 states/eV per atom



Record 4
The following is a DFT calculation (GGA-PBE) of a geometry-optimized FeCuMo structure.

```
FeCuMo
1.0
6.246 -0.002 0.000
5.177 3.495 0.000
-5.711 -1.746 1.828
Cu Mo Fe
1 1 1
Direct
0.007 0.007 0.000
0.334 0.334 0.000
0.659 0.659 0.000
```

Results
* E_form: 0.2109 eV per atom
* offset from the most stable computed form: 0.080 eV/f.u.
* N(E_F): 0.877 states/eV per atom